[1]
This record from Alexandria describes crystalline KSbCl2 at its relaxed geometry. The functional is PBE.

abc: 5.742 5.742 17.661
angles: 90.00 90.00 90.00
Space group I-42d (No. 122)
Symmetry-distinct sites (fractional):
K  0.000  0.000  0.000 [4 per cell]
Sb  0.000  0.000  0.500 [4 per cell]
Cl  0.186  0.250  0.625 [8 per cell]

Results
E above lowest polymorph: 271 meV/atom
DOS(E_F): 0.017 states/eV per atom
Uncorrected formation energy: -0.736 eV per atom

[2]
This record from Alexandria describes crystalline KSbCl at its relaxed geometry. The functional is PBE.

abc: 3.513 3.513 14.996
angles: 90.00 90.00 90.00
Space group I4mm (No. 107)
Symmetry-distinct sites (fractional):
K  0.000  0.000  0.000 [2 per cell]
Sb  0.000  0.000  0.714 [2 per cell]
Cl  0.000  0.000  0.393 [2 per cell]

Results
E above lowest polymorph: 0 meV/atom
DOS(E_F): 0.505 states/eV per atom
Uncorrected formation energy: -0.571 eV per atom

[3]
This record from Alexandria describes crystalline K2SbCl at its relaxed geometry. The functional is PBE.

abc: 6.244 6.244 3.412
angles: 90.00 90.00 90.00
Space group P4/mmm (No. 123)
Symmetry-distinct sites (fractional):
K  0.000  0.500  0.000 [2 per cell]
Sb  0.000  0.000  0.500 [1 per cell]
Cl  0.500  0.500  0.500 [1 per cell]

Results
E above lowest polymorph: 231 meV/atom
DOS(E_F): 0.692 states/eV per atom
Uncorrected formation energy: -0.812 eV per atom

[4]
This record from Alexandria describes crystalline KSb2Cl at its relaxed geometry. The functional is PBE.

abc: 3.368 5.878 6.473
angles: 90.00 90.00 90.00
Space group Pmmm (No. 47)
Symmetry-distinct sites (fractional):
K  0.000  0.000  0.000 [1 per cell]
Sb  0.500  0.234  0.500 [2 per cell]
Cl  0.000  0.500  0.000 [1 per cell]

Results
E above lowest polymorph: 424 meV/atom
DOS(E_F): 0.334 states/eV per atom
Uncorrected formation energy: -0.358 eV per atom

Number 1: magnetization 0.0 Bohr magnetons per cell, V 36.4 A^3/atom. Number 2: magnetization 1.2 Bohr magnetons per cell, V 30.8 A^3/atom. Number 3: magnetization 0.0 Bohr magnetons per cell, V 33.3 A^3/atom. Number 4: magnetization 0.0 Bohr magnetons per cell, V 32.0 A^3/atom.